No. 1
Compound: Na5Tl12Hg2
Source: the Alexandria database
Functional: PBE
Structure: relaxed

abc: 15.871 8.501 8.426
angles: 90.00 95.27 90.00
Space group C2/m (No. 12)
Inequivalent atoms, fractional coordinates:
Na (0.000, 0.000, 0.000) [2 per cell]
Na (0.154, 0.500, 0.445) [4 per cell]
Na (0.241, 0.000, 0.055) [4 per cell]
Tl (0.045, 0.500, 0.757) [4 per cell]
Tl (0.110, 0.301, 0.101) [8 per cell]
Tl (0.146, 0.000, 0.370) [4 per cell]
Tl (0.182, 0.199, 0.722) [8 per cell]
Hg (0.000, 0.211, 0.500) [4 per cell]

As for the formation energy: -49 meV per atom. The size of the total moment is 0.000 μB/atom.

***

No. 2
Compound: Lu2AsH
Source: the Alexandria database
Functional: PBE
Structure: relaxed

abc: 3.9790 3.9790 21.0846
angles: 90.00 90.00 120.00
Space group R-3m (No. 166, hexagonal axes)
Inequivalent atoms, fractional coordinates:
Lu (0.0000, 0.0000, 0.0926) [6 per cell]
As (0.0000, 0.0000, 0.5000) [3 per cell]
H (0.0000, 0.0000, 0.0000) [3 per cell]

For the total DFT energy (no corrections), the calculation gives -57.99 eV per cell. The size of the total moment is 0.253 μB/atom.

***

No. 3
Compound: AlHgPb2
Source: the Alexandria database
Functional: PBE
Structure: relaxed

abc: 3.722 5.648 10.246
angles: 90.00 90.00 90.00
Space group Cmm2 (No. 35)
Inequivalent atoms, fractional coordinates:
Al (0.000, 0.000, 0.000) [2 per cell]
Hg (0.000, 0.500, 0.794) [2 per cell]
Pb (0.000, 0.000, 0.530) [2 per cell]
Pb (0.000, 0.500, 0.238) [2 per cell]

As for the formation energy: 150 meV per atom. Its energy above the most stable polymorph in this dataset is 28.2 meV per atom. The size of the total moment is 0.000 μB/atom.